Entry from Alexandria: a relaxed Ag2SbTe2I crystal (GGA-PBE).

It has space group P2_1/m (No. 11), with a = 6.7266 Å, b = 7.6661 Å, c = 7.5539 Å, α = 90.00°, β = 99.14° and γ = 90.00°. Symmetry generates all atoms from Ag at (0.0503, 0.2500, 0.3001), Ag at (0.4400, 0.2500, 0.5397), Sb at (0.3416, 0.7500, 0.8899), Te at (0.3704, 0.0099, 0.2225) and I at (0.0445, 0.2500, 0.6768).

Its density of states at the Fermi level is 4.33 states/eV per cell. The raw formation energy comes out at -0.13 eV per formula unit.

***

Entry from Alexandria: a relaxed CsGeBi crystal (GGA-PBE).

It has space group P-6m2 (No. 187), with a = 5.0426 Å, b = 5.0426 Å, c = 5.9435 Å, α = 90.00°, β = 90.00° and γ = 120.00°. Symmetry generates all atoms from Cs at (0.0000, 0.0000, 0.0000), Ge at (0.3333, 0.6667, 0.5000) and Bi at (0.6667, 0.3333, 0.5000).

Its density of states at the Fermi level is 2.82 states/eV per cell. The energy of formation from the pure elements is -0.103 eV per atom.

***

Entry from Alexandria: a relaxed PtAu2Se crystal (GGA-PBE).

It has space group Cmmm (No. 65), with a = 3.6615 Å, b = 4.3421 Å, c = 9.2636 Å, α = 90.00°, β = 90.00° and γ = 90.00°. Symmetry generates all atoms from Pt at (0.0000, 0.0000, 0.0000), Au at (0.0000, 0.5000, 0.2310) and Se at (0.0000, 0.0000, 0.5000).

Its density of states at the Fermi level is 3.95 states/eV per cell. The raw formation energy comes out at 0.95 eV per formula unit.

***

Entry from Alexandria: a relaxed Ba2MgGa2S6 crystal (GGA-PBE).

It has space group R-3m (No. 166, hexagonal axes), with a = 7.0433 Å, b = 7.0433 Å, c = 20.9077 Å, α = 90.00°, β = 90.00° and γ = 120.00°. Symmetry generates all atoms from Ba at (0.0000, 0.0000, 0.2159), Mg at (0.0000, 0.0000, 0.0000), Ga at (0.0000, 0.0000, 0.4162) and S at (0.0238, 0.5119, 0.7532).

The raw formation energy comes out at -13.25 eV per formula unit.

***

| no. | electronic total energy (eV/atom) |
| --- | --- |
| 1 | -2.96 |
| 2 | -3.22 |
| 3 | -3.78 |
| 4 | -4.50 |